# 1
Density functional theory data (PBE) for crystalline MnHgOs2 at its relaxed geometry.

Cell and atoms, written as POSCAR:
```
MnHgOs2
1.0
2.848 0.000 0.000
0.000 3.852 0.000
0.000 0.000 5.758
Mn Hg Os
1 1 2
direct
0.000 0.000 0.000
0.500 0.500 0.739
0.000 0.000 0.435
0.500 0.500 0.242
```

D(E_F): 0.539 states/eV/atom
VASP energy: -7.56 eV per atom
calculated volume: 63.16 Å³/cell
SG: No. 25

---

# 2
Density functional theory data (PBE) for crystalline Mn2HgOs at its relaxed geometry.

Cell and atoms, written as POSCAR:
```
Mn2HgOs
1.0
2.861 0.000 0.000
0.000 4.521 0.000
0.000 0.000 4.756
Mn Hg Os
2 1 1
direct
0.000 0.000 0.000
0.000 0.500 0.372
0.500 0.000 0.515
0.500 0.500 0.913
```

D(E_F): 0.930 states/eV/atom
VASP energy: -7.04 eV per atom
calculated volume: 61.51 Å³/cell
SG: No. 25

---

# 3
Density functional theory data (PBE) for crystalline MnHgOs2 at its relaxed geometry.

Cell and atoms, written as POSCAR:
```
MnHgOs2
1.0
-1.462 2.324 4.705
1.462 -2.324 4.705
1.462 2.324 -4.705
Mn Hg Os
1 1 2
direct
0.000 0.000 0.000
0.734 0.234 0.500
0.242 0.742 0.500
0.468 0.468 0.000
```

D(E_F): 0.819 states/eV/atom
VASP energy: -7.27 eV per atom
calculated volume: 63.94 Å³/cell
SG: No. 44

---

# 4
Density functional theory data (PBE) for crystalline MnHgOs2 at its relaxed geometry.

Cell and atoms, written as POSCAR:
```
MnHgOs2
1.0
4.566 -1.428 0.000
4.566 1.428 0.000
-0.841 0.000 4.826
Mn Hg Os
1 1 2
direct
0.000 0.000 0.000
0.244 0.244 0.751
0.486 0.486 0.436
0.746 0.746 0.256
```

D(E_F): 0.773 states/eV/atom
VASP energy: -7.43 eV per atom
calculated volume: 62.95 Å³/cell
SG: No. 8

---

# 5
Density functional theory data (PBE) for crystalline Mn2HgOs at its relaxed geometry.

Cell and atoms, written as POSCAR:
```
Mn2HgOs
1.0
-1.488 2.253 4.599
1.488 -2.253 4.599
1.488 2.253 -4.599
Mn Hg Os
2 1 1
direct
0.000 0.000 0.000
0.752 0.252 0.500
0.490 0.490 0.000
0.220 0.720 0.500
```

D(E_F): 1.138 states/eV/atom
VASP energy: -6.97 eV per atom
calculated volume: 61.69 Å³/cell
SG: No. 44

---

# 6
Density functional theory data (PBE) for crystalline Mn2HgOs at its relaxed geometry.

Cell and atoms, written as POSCAR:
```
Mn2HgOs
1.0
1.446 0.835 8.806
-1.446 0.835 8.806
0.000 -1.670 8.806
Mn Hg Os
2 1 1
direct
0.243 0.243 0.243
0.757 0.757 0.757
0.000 0.000 0.000
0.500 0.500 0.500
```

D(E_F): 0.953 states/eV/atom
VASP energy: -7.08 eV per atom
calculated volume: 63.82 Å³/cell
SG: No. 166

---

# 7
Density functional theory data (PBE) for crystalline Mn2HgOs at its relaxed geometry.

Cell and atoms, written as POSCAR:
```
Mn2HgOs
1.0
1.474 -2.324 0.000
1.474 2.324 0.000
0.000 0.000 9.124
Mn Hg Os
2 1 1
direct
0.000 0.000 0.000
0.500 0.500 0.226
0.500 0.500 0.731
0.000 0.000 0.442
```

D(E_F): 1.166 states/eV/atom
VASP energy: -6.87 eV per atom
calculated volume: 62.54 Å³/cell
SG: No. 35

---

# 8
Density functional theory data (PBE) for crystalline Mn2HgOs at its relaxed geometry.

Cell and atoms, written as POSCAR:
```
Mn2HgOs
1.0
2.845 0.000 0.000
0.000 3.676 0.000
0.000 0.000 5.737
Mn Hg Os
2 1 1
direct
0.000 0.000 0.208
0.000 0.000 0.792
0.500 0.500 0.500
0.500 0.500 0.000
```

D(E_F): 0.858 states/eV/atom
VASP energy: -7.11 eV per atom
calculated volume: 60.00 Å³/cell
SG: No. 47

---

# 9
Density functional theory data (PBE) for crystalline MnHgOs2 at its relaxed geometry.

Cell and atoms, written as POSCAR:
```
MnHgOs2
1.0
-3.595 3.595 2.561
3.595 -3.595 2.561
3.595 3.595 -2.561
Mn Hg Os
2 2 4
direct
0.000 0.000 0.000
0.750 0.250 0.500
0.250 0.750 0.500
0.500 0.500 0.000
0.062 0.625 0.937
0.375 0.312 0.437
0.688 0.125 0.063
0.875 0.938 0.563
```

D(E_F): 0.912 states/eV/atom
VASP energy: -7.01 eV per atom
calculated volume: 132.42 Å³/cell
SG: No. 122

---

# 10
Density functional theory data (PBE) for crystalline Mn2HgOs at its relaxed geometry.

Cell and atoms, written as POSCAR:
```
Mn2HgOs
1.0
4.515 -1.429 0.000
4.515 1.429 0.000
-0.840 0.000 4.738
Mn Hg Os
2 1 1
direct
0.000 0.000 0.000
0.246 0.246 0.732
0.755 0.755 0.240
0.511 0.511 0.560
```

D(E_F): 0.788 states/eV/atom
VASP energy: -7.02 eV per atom
calculated volume: 61.14 Å³/cell
SG: No. 8

---

# 11
Density functional theory data (PBE) for crystalline MnHgOs2 at its relaxed geometry.

Cell and atoms, written as POSCAR:
```
MnHgOs2
1.0
2.739 -3.936 0.000
2.739 3.936 0.000
0.000 0.000 2.885
Mn Hg Os
1 1 2
direct
0.000 0.000 0.000
0.500 0.500 0.000
0.000 0.500 0.500
0.500 0.000 0.500
```

D(E_F): 1.061 states/eV/atom
VASP energy: -7.19 eV per atom
calculated volume: 62.20 Å³/cell
SG: No. 65

---

# 12
Density functional theory data (PBE) for crystalline MnHgOs2 at its relaxed geometry.

Cell and atoms, written as POSCAR:
```
MnHgOs2
1.0
2.841 0.000 0.000
0.000 2.841 0.000
0.000 0.000 7.959
Mn Hg Os
1 1 2
direct
0.000 0.000 0.000
0.500 0.500 0.730
0.000 0.000 0.447
0.500 0.500 0.239
```

D(E_F): 0.675 states/eV/atom
VASP energy: -7.63 eV per atom
calculated volume: 64.22 Å³/cell
SG: No. 99

---

# 13
Density functional theory data (PBE) for crystalline MnHgOs2 at its relaxed geometry.

Cell and atoms, written as POSCAR:
```
MnHgOs2
1.0
4.790 -1.407 0.000
4.790 1.407 0.000
-1.172 0.000 4.592
Mn Hg Os
1 1 2
direct
0.000 0.000 0.000
0.500 0.500 0.500
0.276 0.276 0.783
0.724 0.724 0.217
```

D(E_F): 0.761 states/eV/atom
VASP energy: -7.48 eV per atom
calculated volume: 61.87 Å³/cell
SG: No. 12

---

# 14
Density functional theory data (PBE) for crystalline MnHgP2Os at its relaxed geometry.

Cell and atoms, written as POSCAR:
```
MnHgP2Os
1.0
4.502 0.000 0.000
0.000 4.502 0.000
0.000 0.000 5.447
Mn Hg P Os
1 1 2 1
direct
0.000 0.000 0.000
0.500 0.500 0.000
0.000 0.500 0.500
0.500 0.000 0.500
0.500 0.500 0.500
```

D(E_F): 0.671 states/eV/atom
VASP energy: -5.53 eV per atom
calculated volume: 110.42 Å³/cell
SG: No. 123

---

# 15
Density functional theory data (PBE) for crystalline MnRe2HgOs at its relaxed geometry.

Cell and atoms, written as POSCAR:
```
MnRe2HgOs
1.0
4.467 0.000 0.000
0.000 4.467 0.000
0.000 0.000 4.474
Mn Re Hg Os
1 2 1 1
direct
0.000 0.000 0.000
0.000 0.500 0.000
0.500 0.000 0.000
0.500 0.500 0.500
0.000 0.000 0.500
```

D(E_F): 1.012 states/eV/atom
VASP energy: -7.49 eV per atom
calculated volume: 89.29 Å³/cell
SG: No. 123

---

# 16
Density functional theory data (PBE) for crystalline MnSnHg2Os at its relaxed geometry.

Cell and atoms, written as POSCAR:
```
MnSnHg2Os
1.0
5.326 0.000 0.000
0.000 5.326 0.000
0.000 0.000 4.639
Mn Sn Hg Os
1 1 2 1
direct
0.000 0.000 0.000
0.500 0.500 0.000
0.000 0.500 0.500
0.500 0.000 0.500
0.000 0.000 0.500
```

D(E_F): 0.807 states/eV/atom
VASP energy: -4.12 eV per atom
calculated volume: 131.61 Å³/cell
SG: No. 123

---

# 17
Density functional theory data (PBE) for crystalline MnHgP2 at its relaxed geometry.

Cell and atoms, written as POSCAR:
```
MnHgP2
1.0
0.000 3.267 3.267
3.267 0.000 3.267
3.267 3.267 0.000
Mn Hg P
1 1 2
direct
0.000 0.000 0.000
0.750 0.750 0.750
0.250 0.250 0.250
0.500 0.500 0.500
```

D(E_F): 0.614 states/eV/atom
VASP energy: -4.41 eV per atom
calculated volume: 69.74 Å³/cell
SG: No. 216

---

# 18
Density functional theory data (PBE) for crystalline MnHgP2 at its relaxed geometry.

Cell and atoms, written as POSCAR:
```
MnHgP2
1.0
6.959 -1.387 0.000
6.959 1.387 0.000
-0.849 0.000 3.625
Mn Hg P
1 1 2
direct
0.000 0.000 0.000
0.316 0.316 0.859
0.523 0.523 0.540
0.637 0.637 0.238
```

D(E_F): 0.562 states/eV/atom
VASP energy: -4.97 eV per atom
calculated volume: 70.00 Å³/cell
SG: No. 8

---

# 19
Density functional theory data (PBE) for crystalline Mn2HgP at its relaxed geometry.

Cell and atoms, written as POSCAR:
```
Mn2HgP
1.0
4.229 0.000 0.000
0.000 4.229 0.000
0.000 0.000 3.593
Mn Hg P
2 1 1
direct
0.000 0.500 0.000
0.500 0.000 0.000
0.000 0.000 0.500
0.500 0.500 0.500
```

D(E_F): 0.809 states/eV/atom
VASP energy: -5.70 eV per atom
calculated volume: 64.26 Å³/cell
SG: No. 123

---

# 20
Density functional theory data (PBE) for crystalline Mn2HgP at its relaxed geometry.

Cell and atoms, written as POSCAR:
```
Mn2HgP
1.0
0.000 3.144 3.144
3.144 0.000 3.144
3.144 3.144 0.000
Mn Hg P
2 1 1
direct
0.250 0.250 0.250
0.750 0.750 0.750
0.000 0.000 0.000
0.500 0.500 0.500
```

D(E_F): 0.989 states/eV/atom
VASP energy: -5.63 eV per atom
calculated volume: 62.17 Å³/cell
SG: No. 225

---

# 21
Density functional theory data (PBE) for crystalline MnHgP2 at its relaxed geometry.

Cell and atoms, written as POSCAR:
```
MnHgP2
1.0
3.489 0.000 0.000
0.000 4.197 0.000
-1.696 0.000 5.466
Mn Hg P
1 1 2
direct
0.000 0.000 0.000
0.000 0.000 0.500
0.320 0.500 0.137
0.680 0.500 0.863
```

D(E_F): 0.485 states/eV/atom
VASP energy: -4.92 eV per atom
calculated volume: 80.04 Å³/cell
SG: No. 10

---

# 22
Density functional theory data (PBE) for crystalline Mn2HgP at its relaxed geometry.

Cell and atoms, written as POSCAR:
```
Mn2HgP
1.0
2.851 0.000 0.000
0.000 2.851 0.000
0.000 0.000 6.898
Mn Hg P
2 1 1
direct
0.000 0.000 0.187
0.000 0.000 0.813
0.500 0.500 0.500
0.500 0.500 0.000
```

D(E_F): 0.672 states/eV/atom
VASP energy: -5.97 eV per atom
calculated volume: 56.07 Å³/cell
SG: No. 123

---

# 23
Density functional theory data (PBE) for crystalline Mn4HgP at its relaxed geometry.

Cell and atoms, written as POSCAR:
```
Mn4HgP
1.0
0.000 3.454 3.454
3.454 0.000 3.454
3.454 3.454 0.000
Mn Hg P
4 1 1
direct
0.124 0.124 0.124
0.124 0.124 0.627
0.124 0.627 0.124
0.627 0.124 0.124
0.500 0.500 0.500
0.750 0.750 0.750
```

D(E_F): 1.094 states/eV/atom
VASP energy: -6.51 eV per atom
calculated volume: 82.38 Å³/cell
SG: No. 216

---

# 24
Density functional theory data (PBE) for crystalline MnHgP3 at its relaxed geometry.

Cell and atoms, written as POSCAR:
```
MnHgP3
1.0
4.478 0.000 0.000
0.000 4.478 0.000
0.000 0.000 4.478
Mn Hg P
1 1 3
direct
0.000 0.000 0.000
0.500 0.500 0.500
0.000 0.000 0.500
0.000 0.500 0.000
0.500 0.000 0.000
```

D(E_F): 0.653 states/eV/atom
calculated volume: 89.82 Å³/cell
offset from the most stable computed form: 0.0 meV per atom
SG: No. 221

---

# 25
Density functional theory data (PBE) for crystalline Mn2HgP at its relaxed geometry.

Cell and atoms, written as POSCAR:
```
Mn2HgP
1.0
-1.508 1.598 6.560
1.508 -1.598 6.560
1.508 1.598 -6.560
Mn Hg P
2 1 1
direct
0.000 0.000 0.000
0.825 0.325 0.500
0.182 0.682 0.500
0.449 0.449 0.000
```

D(E_F): 0.826 states/eV/atom
VASP energy: -5.99 eV per atom
calculated volume: 63.23 Å³/cell
SG: No. 44

---

# 26
Density functional theory data (PBE) for crystalline MnHgP2 at its relaxed geometry.

Cell and atoms, written as POSCAR:
```
MnHgP2
1.0
2.940 0.000 0.000
0.000 2.940 0.000
0.000 0.000 8.080
Mn Hg P
1 1 2
direct
0.000 0.000 0.000
0.500 0.500 0.552
0.000 0.000 0.263
0.500 0.500 0.887
```

D(E_F): 0.682 states/eV/atom
VASP energy: -4.91 eV per atom
calculated volume: 69.86 Å³/cell
SG: No. 99

---

# 27
Density functional theory data (PBE) for crystalline Mn2HgP2 at its relaxed geometry.

Cell and atoms, written as POSCAR:
```
Mn2HgP2
1.0
-1.724 1.724 5.834
1.724 -1.724 5.834
1.724 1.724 -5.834
Mn Hg P
2 1 2
direct
0.124 0.124 0.000
0.876 0.876 0.000
0.500 0.500 0.000
0.250 0.750 0.500
0.750 0.250 0.500
```

D(E_F): 0.639 states/eV/atom
VASP energy: -5.94 eV per atom
calculated volume: 69.39 Å³/cell
SG: No. 139

---

# 28
Density functional theory data (PBE) for crystalline Mn2HgP at its relaxed geometry.

Cell and atoms, written as POSCAR:
```
Mn2HgP
1.0
-1.892 1.892 4.552
1.892 -1.892 4.552
1.892 1.892 -4.552
Mn Hg P
2 1 1
direct
0.000 0.000 0.000
0.750 0.250 0.500
0.500 0.500 0.000
0.250 0.750 0.500
```

D(E_F): 0.581 states/eV/atom
VASP energy: -5.70 eV per atom
calculated volume: 65.20 Å³/cell
SG: No. 119

---

# 29
Density functional theory data (PBE) for crystalline MnHgP2 at its relaxed geometry.

Cell and atoms, written as POSCAR:
```
MnHgP2
1.0
-1.382 2.426 5.296
1.382 -2.426 5.296
1.382 2.426 -5.296
Mn Hg P
1 1 2
direct
0.000 0.000 0.000
0.500 0.500 0.000
0.171 0.671 0.500
0.829 0.329 0.500
```

D(E_F): 0.520 states/eV/atom
VASP energy: -4.83 eV per atom
calculated volume: 71.02 Å³/cell
SG: No. 71

---

# 30
Density functional theory data (PBE) for crystalline MnHgP2 at its relaxed geometry.

Cell and atoms, written as POSCAR:
```
MnHgP2
1.0
2.758 -3.634 0.000
2.758 3.634 0.000
-1.979 0.000 3.685
Mn Hg P
1 1 2
direct
0.000 0.000 0.000
0.500 0.500 0.000
0.000 0.500 0.500
0.500 0.000 0.500
```

D(E_F): 0.483 states/eV/atom
VASP energy: -4.65 eV per atom
calculated volume: 73.87 Å³/cell
SG: No. 12

---

Number 1: theoretical density 16.72 g/cm3. Number 2: theoretical density 13.52 g/cm3. Number 3: theoretical density 16.52 g/cm3. Number 4: theoretical density 16.78 g/cm3. Number 5: theoretical density 13.48 g/cm3. Number 6: theoretical density 13.03 g/cm3. Number 7: theoretical density 13.29 g/cm3. Number 8: theoretical density 13.86 g/cm3. Number 9: theoretical density 15.95 g/cm3. Number 10: theoretical density 13.60 g/cm3. Number 11: theoretical density 16.98 g/cm3. Number 12: theoretical density 16.44 g/cm3. Number 13: theoretical density 17.07 g/cm3. Number 14: theoretical density 7.64 g/cm3. Number 15: theoretical density 15.22 g/cm3. Number 16: theoretical density 9.65 g/cm3. Number 17: theoretical density 7.56 g/cm3. Number 18: theoretical density 7.53 g/cm3. Number 19: theoretical density 8.82 g/cm3. Number 20: theoretical density 9.12 g/cm3. Number 21: theoretical density 6.59 g/cm3. Number 22: theoretical density 10.11 g/cm3. Number 23: theoretical density 9.10 g/cm3. Number 24: theoretical density 6.44 g/cm3. Number 25: theoretical density 8.97 g/cm3. Number 26: theoretical density 7.55 g/cm3. Number 27: theoretical density 8.91 g/cm3. Number 28: theoretical density 8.70 g/cm3. Number 29: theoretical density 7.42 g/cm3. Number 30: theoretical density 7.14 g/cm3.